# 1
Below is a relaxed structure of ThAlTc, with properties calculated at the PBE level.

```
data_ThAlTc
_chemical_formula_sum 'Th1 Al1 Tc1'
_cell_length_a 4.4179
_cell_length_b 4.4179
_cell_length_c 3.8689
_cell_angle_alpha 90.00
_cell_angle_beta 90.00
_cell_angle_gamma 120.00
_symmetry_space_group_name_H-M 'P -6 m 2'
_symmetry_Int_Tables_number 187
_symmetry_space_group_name_Hall 'P -6 2'
loop_
_atom_site_label
_atom_site_fract_x
_atom_site_fract_y
_atom_site_fract_z
_atom_site_occupancy
Th1 0.0000 0.0000 0.0000 1
Al1 0.3333 0.6667 0.5000 1
Tc1 0.6667 0.3333 0.5000 1
```

## Properties
For the formation energy, the calculation gives -204 meV/atom. Its total energy is -7.380 eV/atom. As for the energy above the lowest structure with this stoichiometry: 62.2 kJ/mol of formula units.

# 2
Below is a relaxed structure of Th6AlTc2, with properties calculated at the PBE level.

```
data_Th6AlTc2
_chemical_formula_sum 'Th24 Al4 Tc8'
_cell_length_a 9.441
_cell_length_b 9.459
_cell_length_c 10.941
_cell_angle_alpha 90.00
_cell_angle_beta 90.00
_cell_angle_gamma 90.00
_symmetry_space_group_name_H-M 'I m m m'
_symmetry_Int_Tables_number 71
_symmetry_space_group_name_Hall '-I 2 2'
loop_
_atom_site_label
_atom_site_fract_x
_atom_site_fract_y
_atom_site_fract_z
_atom_site_occupancy
Th1 0.000 0.196 0.241 1
Th2 0.195 0.500 0.165 1
Th3 0.206 0.319 0.500 1
Al1 0.000 0.000 0.000 1
Al2 0.000 0.000 0.500 1
Tc1 0.000 0.323 0.000 1
Tc2 0.000 0.500 0.362 1
```

## Properties
For the formation energy, the calculation gives -148 meV/atom. Its total energy is -7.814 eV/atom.

# 3
Below is a relaxed structure of Th4AlTc4, with properties calculated at the PBE level.

```
data_Th4AlTc4
_chemical_formula_sum 'Th8 Al2 Tc8'
_cell_length_a 8.315
_cell_length_b 5.279
_cell_length_c 11.447
_cell_angle_alpha 90.00
_cell_angle_beta 124.01
_cell_angle_gamma 90.00
_symmetry_space_group_name_H-M 'P 1 2/c 1'
_symmetry_Int_Tables_number 13
loop_
_symmetry_equiv_pos_as_xyz
'x,y,z'
'-x,-y,-z'
'-x,y,-z+1/2'
'x,-y,z+1/2'
loop_
_atom_site_label
_atom_site_fract_x
_atom_site_fract_y
_atom_site_fract_z
_atom_site_occupancy
Th1 0.181 0.114 0.186 1
Th2 0.267 0.371 0.928 1
Al1 0.500 0.345 0.750 1
Tc1 0.134 0.379 0.609 1
Tc2 0.346 0.115 0.499 1
```

## Properties
For the formation energy, the calculation gives -157 meV/atom. Its total energy is -8.478 eV/atom.

# 4
Below is a relaxed structure of Th3Al12Tc5, with properties calculated at the PBE level.

```
data_Th3Al12Tc5
_chemical_formula_sum 'Th24 Al96 Tc40'
_cell_length_a 15.618
_cell_length_b 15.618
_cell_length_c 15.618
_cell_angle_alpha 90.00
_cell_angle_beta 90.00
_cell_angle_gamma 90.00
_symmetry_space_group_name_H-M 'I a -3 d'
_symmetry_Int_Tables_number 230
_symmetry_space_group_name_Hall '-I 4bd 2c 3'
loop_
_atom_site_label
_atom_site_fract_x
_atom_site_fract_y
_atom_site_fract_z
_atom_site_occupancy
Th1 0.000 0.250 0.125 1
Al1 0.060 0.119 0.928 1
Tc1 0.000 0.000 0.000 1
Tc2 0.000 0.250 0.375 1
```

## Properties
For the formation energy, the calculation gives 589 meV/atom. Its total energy is -5.361 eV/atom.